[1]
This record from Alexandria via LeMat-Bulk describes a relaxed Tl3HgC crystal. The functional is GGA-PBE.

a b c (Å): 5.8242 5.8242 5.8242
angles (deg): 90.00 90.00 90.00
Space group Pm-3m (No. 221)
Unique sites:
Tl  0.0000  0.0000  0.5000 x3
Hg  0.0000  0.0000  0.0000 x1
C  0.5000  0.5000  0.5000 x1

Properties
E above lowest polymorph = 0.695 eV/atom
theoretical density = 6.9 g/cm3

=====

[2]
This record from Alexandria via LeMat-Bulk describes a relaxed Tl2HgC crystal. The functional is GGA-PBE.

a b c (Å): 7.2123 7.2123 7.2123
angles (deg): 90.00 90.00 90.00
Space group Fm-3m (No. 225)
Unique sites:
Tl  0.2500  0.2500  0.2500 x8
Hg  0.0000  0.0000  0.0000 x4
C  0.0000  0.0000  0.5000 x4

Properties
E above lowest polymorph = 0.395 eV/atom
theoretical density = 11.0 g/cm3

=====

[3]
This record from Alexandria via LeMat-Bulk describes a relaxed Tm4TlHgC crystal. The functional is GGA-PBE.

a b c (Å): 6.8321 14.8355 6.8387
angles (deg): 90.00 90.00 90.00
Space group Cmcm (No. 63)
Unique sites:
Tm  0.0000  0.0834  0.2500 x4
Tm  0.0000  0.4133  0.2500 x4
Tm  0.2500  0.2500  0.0000 x8
Tl  0.0000  0.3831  0.7500 x4
Hg  0.0000  0.1183  0.7500 x4
C  0.0000  0.2485  0.2500 x4

Properties
theoretical density = 10.5 g/cm3

=====

[4]
This record from Alexandria via LeMat-Bulk describes a relaxed Tl2HgWC crystal. The functional is GGA-PBE.

a b c (Å): 5.4998 5.4998 5.4012
angles (deg): 90.00 90.00 90.00
Space group P4/mmm (No. 123)
Unique sites:
Tl  0.0000  0.5000  0.0000 x2
Hg  0.0000  0.0000  0.5000 x1
W  0.0000  0.0000  0.0000 x1
C  0.5000  0.5000  0.5000 x1

Properties
theoretical density = 8.2 g/cm3

=====

[5]
This record from Alexandria via LeMat-Bulk describes a relaxed TlZn2HgC crystal. The functional is GGA-PBE.

a b c (Å): 5.0269 5.0269 6.0134
angles (deg): 90.00 90.00 90.00
Space group P4/mmm (No. 123)
Unique sites:
Tl  0.0000  0.0000  0.0000 x1
Zn  0.0000  0.5000  0.5000 x2
Hg  0.0000  0.0000  0.5000 x1
C  0.5000  0.5000  0.0000 x1

Properties
theoretical density = 6.0 g/cm3

=====

[6]
This record from Alexandria via LeMat-Bulk describes a relaxed Tm8Hg2C3 crystal. The functional is GGA-PBE.

a b c (Å): 14.2357 7.1563 6.3667
angles (deg): 90.00 107.54 90.00
Space group C2/m (No. 12)
Unique sites:
Tm  0.0949  0.2356  0.3882 x8
Tm  0.1002  0.0000  0.8962 x4
Tm  0.1100  0.5000  0.9656 x4
Hg  0.2364  0.5000  0.6726 x4
C  0.0000  0.0000  0.5000 x2
C  0.0000  0.2513  0.0000 x4

Properties
theoretical density = 9.6 g/cm3

=====

[7]
This record from Alexandria via LeMat-Bulk describes a relaxed Tm4Hg2C crystal. The functional is GGA-PBE.

a b c (Å): 7.5168 12.5825 3.6879
angles (deg): 90.00 90.00 90.00
Space group Pbam (No. 55)
Unique sites:
Tm  0.1190  0.1788  0.0000 x4
Tm  0.2058  0.9519  0.5000 x4
Hg  0.0683  0.6642  0.5000 x4
C  0.0000  0.0000  0.0000 x2

Properties
E above lowest polymorph = 0.049 eV/atom
theoretical density = 10.4 g/cm3

=====

[8]
This record from Alexandria via LeMat-Bulk describes a relaxed Tm4HgC crystal. The functional is GGA-PBE.

a b c (Å): 8.3128 13.6853 6.1074
angles (deg): 90.00 120.16 90.00
Space group C2/c (No. 15)
Unique sites:
Tm  0.1377  0.2008  0.1458 x8
Tm  0.2132  0.0492  0.6886 x8
Hg  0.0000  0.3842  0.7500 x4
C  0.0000  0.0697  0.2500 x4

Properties
theoretical density = 9.8 g/cm3

=====

[9]
This record from Alexandria via LeMat-Bulk describes a relaxed Tm4Hg2C crystal. The functional is GGA-PBE.

a b c (Å): 4.8116 4.8116 14.6927
angles (deg): 90.00 90.00 90.00
Space group I4/mmm (No. 139)
Unique sites:
Tm  0.0000  0.0000  0.1663 x4
Tm  0.0000  0.5000  0.0000 x4
Hg  0.0000  0.0000  0.3676 x4
C  0.0000  0.0000  0.0000 x2

Properties
E above lowest polymorph = 0.000 eV/atom
theoretical density = 10.6 g/cm3

=====

[10]
This record from Alexandria via LeMat-Bulk describes a relaxed Tm2HgC2 crystal. The functional is GGA-PBE.

a b c (Å): 15.0002 3.7849 6.7451
angles (deg): 90.00 109.81 90.00
Space group C2/c (No. 15)
Unique sites:
Tm  0.1536  0.1506  0.1241 x8
Hg  0.0000  0.4581  0.7500 x4
C  0.2239  0.3782  0.5247 x8

Properties
theoretical density = 10.4 g/cm3

=====

[11]
This record from Alexandria via LeMat-Bulk describes a relaxed Tm4HgC2 crystal. The functional is GGA-PBE.

a b c (Å): 3.5390 3.5390 41.7217
angles (deg): 90.00 90.00 120.00
Space group R-3m (No. 166, hexagonal axes)
Unique sites:
Tm  0.0000  0.0000  0.1245 x6
Tm  0.0000  0.0000  0.2725 x6
Hg  0.0000  0.0000  0.0000 x3
C  0.0000  0.0000  0.4271 x6

Properties
theoretical density = 9.9 g/cm3

=====

[12]
This record from Alexandria via LeMat-Bulk describes a relaxed Tm8HgC4 crystal. The functional is GGA-PBE.

a b c (Å): 17.2314 3.5982 12.0186
angles (deg): 90.00 133.61 90.00
Space group C2/m (No. 12)
Unique sites:
Tm  0.0442  0.0000  0.2178 x4
Tm  0.1461  0.5000  0.1026 x4
Tm  0.1541  0.5000  0.8343 x4
Tm  0.1913  0.5000  0.5491 x4
Hg  0.0000  0.0000  0.5000 x2
C  0.1518  0.0000  0.9711 x4
C  0.1737  0.5000  0.3304 x4

Properties
theoretical density = 9.8 g/cm3

=====

[13]
This record from Alexandria via LeMat-Bulk describes a relaxed Tm3Hg2C crystal. The functional is GGA-PBE.

a b c (Å): 15.3373 4.9462 6.9081
angles (deg): 90.00 90.00 90.00
Space group Cmcm (No. 63)
Unique sites:
Tm  0.0000  0.0002  0.2500 x4
Tm  0.1124  0.5000  0.0000 x8
Hg  0.1974  0.0006  0.2500 x8
C  0.0000  0.5004  0.2500 x4

Properties
theoretical density = 11.7 g/cm3

=====

[14]
This record from Alexandria via LeMat-Bulk describes a relaxed Tm2HgC crystal. The functional is GGA-PBE.

a b c (Å): 3.5670 3.5670 23.0429
angles (deg): 90.00 90.00 120.00
Space group R-3m (No. 166, hexagonal axes)
Unique sites:
Tm  0.0000  0.0000  0.2240 x6
Hg  0.0000  0.0000  0.0000 x3
C  0.0000  0.0000  0.5000 x3

Properties
theoretical density = 10.8 g/cm3

=====

[15]
This record from Alexandria via LeMat-Bulk describes a relaxed Tm2Hg2C crystal. The functional is GGA-PBE.

a b c (Å): 3.5582 3.5582 29.8043
angles (deg): 90.00 90.00 120.00
Space group R-3m (No. 166, hexagonal axes)
Unique sites:
Tm  0.0000  0.0000  0.1226 x6
Hg  0.0000  0.0000  0.3732 x6
C  0.0000  0.0000  0.5000 x3

Properties
theoretical density = 11.4 g/cm3

=====

[16]
This record from Alexandria via LeMat-Bulk describes a relaxed Y2TmHgC crystal. The functional is GGA-PBE.

a b c (Å): 4.9347 4.9347 4.7836
angles (deg): 90.00 90.00 90.00
Space group P4/mmm (No. 123)
Unique sites:
Y  0.0000  0.5000  0.0000 x2
Tm  0.0000  0.0000  0.5000 x1
Hg  0.5000  0.5000  0.5000 x1
C  0.0000  0.0000  0.0000 x1

Properties
theoretical density = 8.0 g/cm3

=====

[17]
This record from Alexandria via LeMat-Bulk describes a relaxed YTm2HgC crystal. The functional is GGA-PBE.

a b c (Å): 4.8089 4.8089 4.9382
angles (deg): 90.00 90.00 90.00
Space group P4/mmm (No. 123)
Unique sites:
Y  0.0000  0.0000  0.0000 x1
Tm  0.0000  0.5000  0.5000 x2
Hg  0.5000  0.5000  0.0000 x1
C  0.0000  0.0000  0.5000 x1

Properties
theoretical density = 9.3 g/cm3

=====

[18]
This record from Alexandria via LeMat-Bulk describes a relaxed VHgC3 crystal. The functional is GGA-PBE.

a b c (Å): 4.0157 4.0157 4.0157
angles (deg): 90.00 90.00 90.00
Space group Pm-3m (No. 221)
Unique sites:
V  0.0000  0.0000  0.0000 x1
Hg  0.5000  0.5000  0.5000 x1
C  0.0000  0.0000  0.5000 x3

Properties
E above lowest polymorph = 0.000 eV/atom
theoretical density = 7.4 g/cm3

=====

[19]
This record from Alexandria via LeMat-Bulk describes a relaxed V3HgC crystal. The functional is GGA-PBE.

a b c (Å): 4.0533 4.0533 4.0533
angles (deg): 90.00 90.00 90.00
Space group Pm-3m (No. 221)
Unique sites:
V  0.0000  0.0000  0.5000 x3
Hg  0.5000  0.5000  0.5000 x1
C  0.0000  0.0000  0.0000 x1

Properties
E above lowest polymorph = 0.000 eV/atom
theoretical density = 9.1 g/cm3

=====

[20]
This record from Alexandria via LeMat-Bulk describes a relaxed VHgC3 crystal. The functional is GGA-PBE.

a b c (Å): 4.2163 4.2163 4.2163
angles (deg): 90.00 90.00 90.00
Space group Pm-3m (No. 221)
Unique sites:
V  0.0000  0.0000  0.0000 x1
Hg  0.5000  0.5000  0.5000 x1
C  0.0000  0.5000  0.5000 x3

Properties
E above lowest polymorph = 1.558 eV/atom
theoretical density = 6.4 g/cm3

=====

[21]
This record from Alexandria via LeMat-Bulk describes a relaxed V3HgC crystal. The functional is GGA-PBE.

a b c (Å): 4.9692 4.9692 4.9692
angles (deg): 90.00 90.00 90.00
Space group Pm-3m (No. 221)
Unique sites:
V  0.0000  0.0000  0.5000 x3
Hg  0.0000  0.0000  0.0000 x1
C  0.5000  0.5000  0.5000 x1

Properties
E above lowest polymorph = 2.973 eV/atom
theoretical density = 4.9 g/cm3

=====

[22]
This record from Alexandria via LeMat-Bulk describes a relaxed Y2VHgC crystal. The functional is GGA-PBE.

a b c (Å): 5.0222 5.0222 4.0260
angles (deg): 90.00 90.00 90.00
Space group P4/mmm (No. 123)
Unique sites:
Y  0.0000  0.5000  0.0000 x2
V  0.0000  0.0000  0.5000 x1
Hg  0.5000  0.5000  0.5000 x1
C  0.0000  0.0000  0.0000 x1

Properties
theoretical density = 7.2 g/cm3

=====

[23]
This record from Alexandria via LeMat-Bulk describes a relaxed Zr2VHgC crystal. The functional is GGA-PBE.

a b c (Å): 4.6165 4.6165 4.0422
angles (deg): 90.00 90.00 90.00
Space group P4/mmm (No. 123)
Unique sites:
Zr  0.0000  0.5000  0.0000 x2
V  0.0000  0.0000  0.5000 x1
Hg  0.5000  0.5000  0.5000 x1
C  0.0000  0.0000  0.0000 x1

Properties
theoretical density = 8.6 g/cm3

=====

[24]
This record from Alexandria via LeMat-Bulk describes a relaxed HgW2C crystal. The functional is GGA-PBE.

a b c (Å): 5.0460 5.0460 11.8832
angles (deg): 90.00 90.00 90.00
Space group I-42d (No. 122)
Unique sites:
Hg  0.0000  0.0000  0.0000 x4
W  0.1077  0.2500  0.6250 x8
C  0.0000  0.0000  0.5000 x4

Properties
E above lowest polymorph = 0.000 eV/atom
theoretical density = 12.7 g/cm3

=====

[25]
This record from Alexandria via LeMat-Bulk describes a relaxed HgWC3 crystal. The functional is GGA-PBE.

a b c (Å): 4.1242 4.1242 4.1242
angles (deg): 90.00 90.00 90.00
Space group Pm-3m (No. 221)
Unique sites:
Hg  0.0000  0.0000  0.0000 x1
W  0.5000  0.5000  0.5000 x1
C  0.0000  0.0000  0.5000 x3

Properties
E above lowest polymorph = 1.920 eV/atom
theoretical density = 10.0 g/cm3

=====

[26]
This record from Alexandria via LeMat-Bulk describes a relaxed HgWC3 crystal. The functional is GGA-PBE.

a b c (Å): 4.1797 4.1797 4.1797
angles (deg): 90.00 90.00 90.00
Space group Pm-3m (No. 221)
Unique sites:
Hg  0.0000  0.0000  0.0000 x1
W  0.5000  0.5000  0.5000 x1
C  0.0000  0.5000  0.5000 x3

Properties
E above lowest polymorph = 0.000 eV/atom
theoretical density = 9.6 g/cm3

=====

The evaluated ΔE_f for the records listed, in turn: 36.0; 31.8; -8.3; 49.7; 36.2; -6.6; -7.3; -5.0; -8.4; -8.2; -8.8; -7.6; -10.0; -9.9; -8.7; -9.4; -9.5; 43.6; -2.3; 79.5; 66.2; -7.9; -8.2; 29.3; 88.2; 44.0 kcal/mol of atoms.